10
Lattice="3.744 0.000 0.000 0.000 3.744 0.000 0.000 0.000 23.198" Properties=species:S:1:pos:R:3 comment="AcLa4Pb5 (PBE-GGA, optimized geometry)" formation_enthalpy_0k_ev_per_atom=-0.563 e_tot_ev_per_atom=-4.799 magnetic_moment_mub_per_cell=0.00 rho_g_cm3=9.3 pbc="T T T"
Pb 1.872 1.872 2.429
La 0.000 0.000 18.478
Pb 1.872 1.872 16.186
Ac 0.000 0.000 0.000
Pb 1.872 1.872 20.769
Pb 1.872 1.872 7.013
La 0.000 0.000 9.306
La 0.000 0.000 13.892
Pb 1.872 1.872 11.599
La 0.000 0.000 4.720